A geometry-optimized AlCuPt structure. Source: the Alexandria database, functional GGA-PBE.

The space group is P2_1/m (No. 11) and the conventional cell measures 4.450, 4.381 and 4.824 Å, with angles of 90.00, 116.15 and 90.00 degrees. Symmetry generates all atoms from Al at (0.213, 0.250, 0.497), Cu at (0.471, 0.750, 0.846) and Pt at (0.146, 0.750, 0.208).

Its final energy is -5.242 eV per atom. The calculation puts the distance to the lowest polymorph of the same formula at 0.124 eV/f.u. Its formation energy is -616 meV/atom.